# CrFeSi2 (GGA-PBE, relaxed)
# DOS(E_F) (states/eV/f.u.): 3.09
# Crystal system: trigonal
# SG: R3m (160)
# Theoretical density (g/cm³): 5.6
# ΔE_f (raw) (eV/atom): 0.0466
# Calculated total energy (eV per atom): -7.1864
data_CrFeSi2
_chemical_formula_sum 'Cr1 Fe1 Si2'
_symmetry_space_group_name_H-M 'P 1'
_symmetry_Int_Tables_number 1
_symmetry_space_group_name_Hall 'P 1'
_cell_length_a 7.760
_cell_length_b 7.760
_cell_length_c 7.760
_cell_angle_alpha 20.09
_cell_angle_beta 20.09
_cell_angle_gamma 20.09
loop_
_atom_site_label
_atom_site_type_symbol
_atom_site_fract_x
_atom_site_fract_y
_atom_site_fract_z
_atom_site_occupancy
Cr1 Cr 0.499 0.499 0.499 1
Fe1 Fe 0.749 0.749 0.749 1
Si1 Si 0.005 0.005 0.005 1
Si2 Si 0.248 0.248 0.248 1

# CrFe14Si (GGA-PBE, relaxed)
# DOS(E_F) (states/eV/f.u.): 13.92
# Crystal system: orthorhombic
# SG: Cmmm (65)
# Theoretical density (g/cm³): 7.9
# ΔE_f (raw) (eV/atom): -0.0557
# Calculated total energy (eV per atom): -8.4010
data_CrFe14Si
_chemical_formula_sum 'Cr1 Fe14 Si1'
_symmetry_space_group_name_H-M 'P 1'
_symmetry_Int_Tables_number 1
_symmetry_space_group_name_Hall 'P 1'
_cell_length_a 4.907
_cell_length_b 4.907
_cell_length_c 7.960
_cell_angle_alpha 90.00
_cell_angle_beta 90.00
_cell_angle_gamma 108.45
loop_
_atom_site_label
_atom_site_type_symbol
_atom_site_fract_x
_atom_site_fract_y
_atom_site_fract_z
_atom_site_occupancy
Cr1 Cr 0.625 0.375 0.500 1
Fe1 Fe 0.125 0.875 0.000 1
Fe2 Fe 0.625 0.375 0.000 1
Fe3 Fe 0.125 0.375 0.500 1
Fe4 Fe 0.125 0.375 0.000 1
Fe5 Fe 0.625 0.875 0.500 1
Fe6 Fe 0.625 0.875 0.000 1
Fe7 Fe 0.376 0.126 0.748 1
Fe8 Fe 0.376 0.126 0.252 1
Fe9 Fe 0.874 0.624 0.748 1
Fe10 Fe 0.874 0.624 0.252 1
Fe11 Fe 0.373 0.627 0.749 1
Fe12 Fe 0.373 0.627 0.251 1
Fe13 Fe 0.877 0.123 0.749 1
Fe14 Fe 0.877 0.123 0.251 1
Si1 Si 0.125 0.875 0.500 1

Repeat the second record exactly.
# CrFe14Si (GGA-PBE, relaxed)
# DOS(E_F) (states/eV/f.u.): 13.92
# Crystal system: orthorhombic
# SG: Cmmm (65)
# Theoretical density (g/cm³): 7.9
# ΔE_f (raw) (eV/atom): -0.0557
# Calculated total energy (eV per atom): -8.4010
data_CrFe14Si
_chemical_formula_sum 'Cr1 Fe14 Si1'
_symmetry_space_group_name_H-M 'P 1'
_symmetry_Int_Tables_number 1
_symmetry_space_group_name_Hall 'P 1'
_cell_length_a 4.907
_cell_length_b 4.907
_cell_length_c 7.960
_cell_angle_alpha 90.00
_cell_angle_beta 90.00
_cell_angle_gamma 108.45
loop_
_atom_site_label
_atom_site_type_symbol
_atom_site_fract_x
_atom_site_fract_y
_atom_site_fract_z
_atom_site_occupancy
Cr1 Cr 0.625 0.375 0.500 1
Fe1 Fe 0.125 0.875 0.000 1
Fe2 Fe 0.625 0.375 0.000 1
Fe3 Fe 0.125 0.375 0.500 1
Fe4 Fe 0.125 0.375 0.000 1
Fe5 Fe 0.625 0.875 0.500 1
Fe6 Fe 0.625 0.875 0.000 1
Fe7 Fe 0.376 0.126 0.748 1
Fe8 Fe 0.376 0.126 0.252 1
Fe9 Fe 0.874 0.624 0.748 1
Fe10 Fe 0.874 0.624 0.252 1
Fe11 Fe 0.373 0.627 0.749 1
Fe12 Fe 0.373 0.627 0.251 1
Fe13 Fe 0.877 0.123 0.749 1
Fe14 Fe 0.877 0.123 0.251 1
Si1 Si 0.125 0.875 0.500 1

> Which of these has the highest ΔE_f (raw)?

CrFeSi2

> theoretical density of number 1 (CrFeSi2)?

5.6 g/cm³